This record from Alexandria describes crystalline MgCo2RhO6 at its relaxed geometry. The functional is GGA+U.

For the final energy, the calculation gives -6.0631 eV per atom. The calculation puts the density of states at the Fermi level at 0.497 states/eV per atom.

Unit cell a=5.0448 b=5.0448 c=13.7547 alpha=90.00 beta=90.00 gamma=120.00
Last column: nearest neighbours and their distance in Å.
Space group R3 (No. 146, hexagonal axes)
Unique sites:
Mg  0.0000  0.0000  0.0000 [3 per cell]  6 O 2.03-2.16
Co  0.0000  0.0000  0.2836 [3 per cell]  6 O 1.98-2.20
Co  0.0000  0.0000  0.8005 [3 per cell]  6 O 1.92-1.95
Rh  0.0000  0.0000  0.4842 [3 per cell]  6 O 1.99-2.00
O  0.0095  0.6405  0.0624 [9 per cell]  1 Co 1.92, 1 Rh 1.99, 1 Mg 2.03
O  0.0342  0.3623  0.5556 [9 per cell]  2 Co 1.95-1.98, 1 Rh 2.00, 1 Mg 2.16